The following is a DFT calculation (PBE-GGA) of crystalline NaMnOs3 at its relaxed geometry.

Values from the calculation:
Energy above the most stable polymorph in this dataset (eV/atom): 0.0000
ΔE_f (meV/atom): 1616
E (eV/atom): -7.220
Symmetry: Pm-3m, No. 221

Cell: 4.4802 4.4802 4.4802 Å, 90.00 90.00 90.00°
With the nearest neighbours (Å) after each atom.
Fractional coordinates of all 5 atoms:
Mn 0.0000 0.0000 0.0000  6 Os 2.24
Os 0.5000 0.0000 0.0000  2 Mn 2.24
Os 0.0000 0.0000 0.5000  2 Mn 2.24
Na 0.5000 0.5000 0.5000  12 Os 3.17
Os 0.0000 0.5000 0.0000  2 Mn 2.24